BaLiCa2Rh (PBE, optimized geometry); D(E_F) = 3.725 states/eV per cell; ΔE to the lowest computed polymorph = 0.00 eV per formula unit; space group = No. 123; M_tot = 0.000 μB/cell
1.0
-0.725 4.919 2.545
-1.280 -2.647 4.750
5.828 0.037 1.591
Rh Li Ca Ba
1 1 2 1
Direct
0.000 0.000 0.000 Rh
0.500 0.500 0.500 Li
0.000 0.500 0.000 Ca
0.500 0.000 0.000 Ca
0.000 0.000 0.500 Ba